1.
This record from the Alexandria database describes Ir2PbS2 after structural relaxation. The functional is PBE-GGA.

a b c (Å): 4.4643 4.4643 9.1692
angles (deg): 90.00 90.00 90.00
Fractional positions:
Ir (0.0000, 0.0000, 0.1559)
Ir (0.0000, 0.0000, 0.8441)
Ir (0.5000, 0.5000, 0.3441)
Ir (0.5000, 0.5000, 0.6559)
Pb (0.0000, 0.0000, 0.5000)
Pb (0.5000, 0.5000, 0.0000)
S (0.0000, 0.5000, 0.2500)
S (0.0000, 0.5000, 0.7500)
S (0.5000, 0.0000, 0.2500)
S (0.5000, 0.0000, 0.7500)

Calculated values
The space group is I4/mmm (139). The energy above the most stable polymorph in this dataset is 0 meV per atom.

=====

2.
This record from the Alexandria database describes IrPbS3 after structural relaxation. The functional is PBE-GGA.

a b c (Å): 4.7275 4.7275 4.7275
angles (deg): 90.00 90.00 90.00
Fractional positions:
Ir (0.0000, 0.0000, 0.0000)
Pb (0.5000, 0.5000, 0.5000)
S (0.0000, 0.0000, 0.5000)
S (0.0000, 0.5000, 0.0000)
S (0.5000, 0.0000, 0.0000)

Calculated values
The space group is Pm-3m (221). The energy above the most stable polymorph in this dataset is 0 meV per atom.

=====

3.
This record from the Alexandria database describes IrPb3S after structural relaxation. The functional is PBE-GGA.

a b c (Å): 5.2965 5.2965 5.2965
angles (deg): 90.00 90.00 90.00
Fractional positions:
Ir (0.0000, 0.0000, 0.0000)
Pb (0.0000, 0.0000, 0.5000)
Pb (0.0000, 0.5000, 0.0000)
Pb (0.5000, 0.0000, 0.0000)
S (0.5000, 0.5000, 0.5000)

Calculated values
The space group is Pm-3m (221). The energy above the most stable polymorph in this dataset is 0 meV per atom.

=====

4.
This record from the Alexandria database describes IrPbSe2S after structural relaxation. The functional is PBE-GGA.

a b c (Å): 4.7176 4.7176 5.3882
angles (deg): 90.00 90.00 90.00
Fractional positions:
Ir (0.0000, 0.0000, 0.0000)
Pb (0.5000, 0.5000, 0.0000)
Se (0.0000, 0.5000, 0.5000)
Se (0.5000, 0.0000, 0.5000)
S (0.5000, 0.5000, 0.5000)

Calculated values
The space group is P4/mmm (123). The energy above the most stable polymorph in this dataset is 0 meV per atom.

=====

5.
This record from the Alexandria database describes Ir2PbSeS after structural relaxation. The functional is PBE-GGA.

a b c (Å): 4.3602 4.3602 6.0103
angles (deg): 90.00 90.00 90.00
Fractional positions:
Ir (0.0000, 0.5000, 0.0000)
Ir (0.5000, 0.0000, 0.0000)
Pb (0.0000, 0.0000, 0.5000)
Se (0.5000, 0.5000, 0.5000)
S (0.0000, 0.0000, 0.0000)

Calculated values
The space group is P4/mmm (123).

=====

6.
This record from the Alexandria database describes IrPbSe2S after structural relaxation. The functional is PBE-GGA.

a b c (Å): 5.4596 5.4596 5.2020
angles (deg): 90.00 90.00 90.00
Fractional positions:
Ir (0.0000, 0.0000, 0.0000)
Pb (0.0000, 0.0000, 0.5000)
Se (0.0000, 0.5000, 0.5000)
Se (0.5000, 0.0000, 0.5000)
S (0.5000, 0.5000, 0.0000)

Calculated values
The space group is P4/mmm (123). The energy above the most stable polymorph in this dataset is 573 meV per atom.

=====

7.
This record from the Alexandria database describes SrIr2PbS after structural relaxation. The functional is PBE-GGA.

a b c (Å): 5.1421 5.1421 5.4055
angles (deg): 90.00 90.00 90.00
Fractional positions:
Sr (0.0000, 0.0000, 0.0000)
Ir (0.0000, 0.5000, 0.0000)
Ir (0.5000, 0.0000, 0.0000)
Pb (0.5000, 0.5000, 0.5000)
S (0.0000, 0.0000, 0.5000)

Calculated values
The space group is P4/mmm (123).

=====

8.
This record from the Alexandria database describes Ta2IrPbS after structural relaxation. The functional is PBE-GGA.

a b c (Å): 5.2284 5.2284 4.8633
angles (deg): 90.00 90.00 90.00
Fractional positions:
Ta (0.0000, 0.5000, 0.0000)
Ta (0.5000, 0.0000, 0.0000)
Ir (0.0000, 0.0000, 0.5000)
Pb (0.0000, 0.0000, 0.0000)
S (0.5000, 0.5000, 0.5000)

Calculated values
The space group is P4/mmm (123). The energy above the most stable polymorph in this dataset is 1562 meV per atom.

=====

ΔE_f (raw) readings, ordered: 84, 161, 194, 1068, 674, 1641, 1624, 2529 meV/atom
Volume readings, ordered: 18.274, 21.131, 29.716, 23.983, 22.852, 31.012, 28.585, 26.589 Å³ per atom
Raw total energy readings, ordered: -5.853, -4.829, -4.629, -3.665, -5.135, -3.092, -3.823, -5.552 eV per atom